An optimized crystal structure of Mg6CoBiO8. Source: Alexandria via LeMat-Bulk, functional GGA+U.

Summary:
- D(E_F): 0.12 states/eV/cell
- Space group: P4/mmm (123)
- Calculated density: 5.110 g/cm³
- Calculated total energy: -91.31 eV/cell

Unit cell a=4.454 b=4.454 c=8.873 alpha=90.00 beta=90.00 gamma=90.00
Each line ends with the local moment (μB).
Sites, in units of the cell vectors:
Mg  0.000  0.000  0.500  0.00
Mg  0.500  0.500  0.500  0.00
Mg  0.000  0.500  0.263  0.00
Mg  0.000  0.500  0.737  0.00
Mg  0.500  0.000  0.263  0.00
Mg  0.500  0.000  0.737  0.00
Co  0.000  0.000  0.000  1.94
Bi  0.500  0.500  0.000  0.00
O  0.000  0.000  0.267  0.01
O  0.000  0.000  0.733  0.01
O  0.500  0.500  0.269  0.00
O  0.500  0.500  0.731  0.00
O  0.000  0.500  0.000  0.01
O  0.000  0.500  0.500  0.00
O  0.500  0.000  0.000  0.01
O  0.500  0.000  0.500  0.00